Material: MgCdSi
Method: DFT, PBE-GGA
State: optimized geometry

Values from the calculation:
- SG: Fmm2
- Formation energy from raw total energies: 0.159 eV per atom
- Volume: 59.3 Å³/cell

abc: 6.625 6.649 3.075
angles: 76.17 77.04 26.79
Fractional coordinates of all 3 atoms:
Cd: 0.004 0.004 0.996
Mg: 0.324 0.324 0.676
Si: 0.672 0.672 0.328